(1)
This record from Alexandria via LeMat-Bulk describes Nd2BePN after structural relaxation. The functional is PBE.

```
data_Nd2BePN
_chemical_formula_sum 'Nd4 Be2 P2 N2'
_cell_length_a 6.158
_cell_length_b 3.714
_cell_length_c 8.276
_cell_angle_alpha 90.00
_cell_angle_beta 109.12
_cell_angle_gamma 90.00
_symmetry_space_group_name_H-M 'P 1 21/m 1'
_symmetry_Int_Tables_number 11
_symmetry_space_group_name_Hall '-P 2yb'
loop_
_atom_site_label
_atom_site_fract_x
_atom_site_fract_y
_atom_site_fract_z
_atom_site_occupancy
Nd1 0.207 0.250 0.390 1
Nd2 0.222 0.250 0.967 1
Be1 0.462 0.750 0.249 1
P1 0.333 0.750 0.705 1
N1 0.184 0.750 0.173 1
```

Computed properties:
uncorrected energy = -6.60 eV/atom
energy relative to the elements, uncorrected = -1.200 eV/atom



(2)
This record from Alexandria via LeMat-Bulk describes Al2ZnRe2 after structural relaxation. The functional is PBE.

```
data_Al2ZnRe2
_chemical_formula_sum 'Al4 Zn2 Re4'
_cell_length_a 6.647
_cell_length_b 6.647
_cell_length_c 3.509
_cell_angle_alpha 90.00
_cell_angle_beta 90.00
_cell_angle_gamma 90.00
_symmetry_space_group_name_H-M 'P 4/m b m'
_symmetry_Int_Tables_number 127
_symmetry_space_group_name_Hall '-P 4 2ab'
loop_
_atom_site_label
_atom_site_fract_x
_atom_site_fract_y
_atom_site_fract_z
_atom_site_occupancy
Al1 0.149 0.351 0.000 1
Zn1 0.000 0.000 0.500 1
Re1 0.148 0.648 0.500 1
```

Computed properties:
uncorrected energy = -6.63 eV/atom
distance to the lowest polymorph of the same formula = 0 meV/atom
energy of formation from the pure elements = 0.1042 eV/atom



(3)
This record from Alexandria via LeMat-Bulk describes ScTeOs2 after structural relaxation. The functional is PBE.

```
data_ScTeOs2
_chemical_formula_sum 'Sc4 Te4 Os8'
_cell_length_a 6.547
_cell_length_b 6.547
_cell_length_c 6.547
_cell_angle_alpha 90.00
_cell_angle_beta 90.00
_cell_angle_gamma 90.00
_symmetry_space_group_name_H-M 'F -4 3 m'
_symmetry_Int_Tables_number 216
_symmetry_space_group_name_Hall 'F -4 2 3'
loop_
_atom_site_label
_atom_site_fract_x
_atom_site_fract_y
_atom_site_fract_z
_atom_site_occupancy
Sc1 0.000 0.000 0.000 1
Te1 0.250 0.250 0.250 1
Os1 0.000 0.000 0.500 1
Os2 0.250 0.250 0.750 1
```

Computed properties:
uncorrected energy = -7.48 eV/atom
energy relative to the elements, uncorrected = 0.507 eV/atom



(4)
This record from Alexandria via LeMat-Bulk describes SmGdPt2 after structural relaxation. The functional is PBE.

```
data_SmGdPt2
_chemical_formula_sum 'Sm1 Gd1 Pt2'
_cell_length_a 5.042
_cell_length_b 5.042
_cell_length_c 3.510
_cell_angle_alpha 90.00
_cell_angle_beta 90.00
_cell_angle_gamma 90.00
_symmetry_space_group_name_H-M 'P 4/m m m'
_symmetry_Int_Tables_number 123
_symmetry_space_group_name_Hall '-P 4 2'
loop_
_atom_site_label
_atom_site_fract_x
_atom_site_fract_y
_atom_site_fract_z
_atom_site_occupancy
Sm1 0.000 0.000 0.000 1
Gd1 0.500 0.500 0.000 1
Pt1 0.000 0.500 0.500 1
```

Computed properties:
uncorrected energy = -8.85 eV/atom
distance to the lowest polymorph of the same formula = 0 meV/atom
energy of formation from the pure elements = -1.1319 eV/atom



Q: What is the uncorrected energy in the fourth record?
A: -8.85 eV/atom



Repeat the third record exactly.
This record from Alexandria via LeMat-Bulk describes ScTeOs2 after structural relaxation. The functional is PBE.

```
data_ScTeOs2
_chemical_formula_sum 'Sc4 Te4 Os8'
_cell_length_a 6.547
_cell_length_b 6.547
_cell_length_c 6.547
_cell_angle_alpha 90.00
_cell_angle_beta 90.00
_cell_angle_gamma 90.00
_symmetry_space_group_name_H-M 'F -4 3 m'
_symmetry_Int_Tables_number 216
_symmetry_space_group_name_Hall 'F -4 2 3'
loop_
_atom_site_label
_atom_site_fract_x
_atom_site_fract_y
_atom_site_fract_z
_atom_site_occupancy
Sc1 0.000 0.000 0.000 1
Te1 0.250 0.250 0.250 1
Os1 0.000 0.000 0.500 1
Os2 0.250 0.250 0.750 1
```

Computed properties:
uncorrected energy = -7.48 eV/atom
energy relative to the elements, uncorrected = 0.507 eV/atom